## Cu2TeBr8 (GGA-PBE)

Data for a geometry-optimized Cu2TeBr8 structure. Values from VASP.

Results
formation energy from raw total energies	-0.260	eV per atom
symmetry	C2/m, No. 12

Quantum ESPRESSO input file:
```
&SYSTEM
  ibrav = 0, nat = 11, ntyp = 3
/
ATOMIC_SPECIES
Cu 63.55 Cu.upf
Te 127.60 Te.upf
Br 79.90 Br.upf
ATOMIC_POSITIONS angstrom
Cu 1.957 0.000 1.085
Cu 7.459 0.000 5.236
Te -1.001 0.000 3.160
Br 3.200 3.778 4.433
Br 0.894 0.000 5.241
Br 6.217 3.778 1.888
Br 4.157 0.000 1.992
Br 5.259 0.000 4.328
Br 3.200 -3.778 4.433
Br 8.522 0.000 1.079
Br 6.217 -3.778 1.888
CELL_PARAMETERS angstrom
5.709 -5.659 0.000
5.709 5.659 0.000
-2.002 0.000 6.321
```

=====

## CuTeBr2 (GGA-PBE)

Data for a geometry-optimized CuTeBr2 structure. Values from VASP.

Results
formation energy from raw total energies	-0.175	eV per atom
symmetry	Imm2, No. 44

Quantum ESPRESSO input file:
```
&SYSTEM
  ibrav = 0, nat = 8, ntyp = 3
/
ATOMIC_SPECIES
Cu 63.55 Cu.upf
Te 127.60 Te.upf
Br 79.90 Br.upf
ATOMIC_POSITIONS angstrom
Cu 0.000 0.000 0.000
Cu 1.802 2.835 7.286
Te 0.000 2.835 5.431
Te 1.802 0.000 12.717
Br 0.000 0.000 5.502
Br 0.000 2.835 8.888
Br 1.802 0.000 1.603
Br 1.802 2.835 12.788
CELL_PARAMETERS angstrom
3.605 0.000 0.000
0.000 5.671 0.000
0.000 0.000 14.572
```

=====

## CuTeBr2 (GGA-PBE)

Data for a geometry-optimized CuTeBr2 structure. Values from VASP.

Results
formation energy from raw total energies	0.586	eV per atom
symmetry	Fm-3m, No. 225

Quantum ESPRESSO input file:
```
&SYSTEM
  ibrav = 0, nat = 16, ntyp = 3
/
ATOMIC_SPECIES
Cu 63.55 Cu.upf
Te 127.60 Te.upf
Br 79.90 Br.upf
ATOMIC_POSITIONS angstrom
Cu 0.000 0.000 0.000
Cu 0.000 3.654 3.654
Cu 3.654 0.000 3.654
Cu 3.654 3.654 0.000
Te 0.000 0.000 3.654
Te 0.000 3.654 0.000
Te 3.654 0.000 0.000
Te 3.654 3.654 3.654
Br 1.827 1.827 1.827
Br 1.827 1.827 5.481
Br 1.827 5.481 1.827
Br 1.827 5.481 5.481
Br 5.481 1.827 1.827
Br 5.481 1.827 5.481
Br 5.481 5.481 1.827
Br 5.481 5.481 5.481
CELL_PARAMETERS angstrom
7.308 0.000 0.000
0.000 7.308 0.000
0.000 0.000 7.308
```

=====

## CuTeBr4 (GGA-PBE)

Data for a geometry-optimized CuTeBr4 structure. Values from VASP.

Results
formation energy from raw total energies	-0.267	eV per atom
symmetry	C2/c, No. 15

Quantum ESPRESSO input file:
```
&SYSTEM
  ibrav = 0, nat = 12, ntyp = 3
/
ATOMIC_SPECIES
Cu 63.55 Cu.upf
Te 127.60 Te.upf
Br 79.90 Br.upf
ATOMIC_POSITIONS angstrom
Cu 4.331 3.566 7.415
Cu 5.106 -3.566 2.472
Te 2.747 2.128 0.000
Te 1.972 -2.128 4.944
Br 0.982 0.333 7.800
Br 3.877 2.206 9.416
Br 1.757 -0.333 2.856
Br 4.784 2.206 5.415
Br 4.653 -2.206 4.472
Br 7.680 0.333 7.031
Br 5.560 -2.206 0.471
Br 8.455 -0.333 2.088
CELL_PARAMETERS angstrom
5.494 -4.255 0.000
5.494 4.255 0.000
-1.551 0.000 9.887
```

=====

## CuTe2Br2 (GGA-PBE)

Data for a geometry-optimized CuTe2Br2 structure. Values from VASP.

Results
formation energy from raw total energies	-0.019	eV per atom
symmetry	P4/mbm, No. 127

Quantum ESPRESSO input file:
```
&SYSTEM
  ibrav = 0, nat = 10, ntyp = 3
/
ATOMIC_SPECIES
Cu 63.55 Cu.upf
Te 127.60 Te.upf
Br 79.90 Br.upf
ATOMIC_POSITIONS angstrom
Cu 0.000 0.000 0.000
Cu 3.571 3.571 0.000
Te 1.149 2.422 0.000
Te 2.422 5.993 0.000
Te 4.720 1.149 0.000
Te 5.993 4.720 0.000
Br 1.257 2.314 2.828
Br 2.314 5.885 2.828
Br 4.829 1.257 2.828
Br 5.885 4.829 2.828
CELL_PARAMETERS angstrom
7.143 0.000 0.000
0.000 7.143 0.000
0.000 0.000 5.656
```

=====

## CuTeBr2 (GGA-PBE)

Data for a geometry-optimized CuTeBr2 structure. Values from VASP.

Results
formation energy from raw total energies	0.011	eV per atom
symmetry	P2/m, No. 10

Quantum ESPRESSO input file:
```
&SYSTEM
  ibrav = 0, nat = 4, ntyp = 3
/
ATOMIC_SPECIES
Cu 63.55 Cu.upf
Te 127.60 Te.upf
Br 79.90 Br.upf
ATOMIC_POSITIONS angstrom
Cu 0.000 0.000 0.000
Te -0.478 0.000 4.733
Br -0.674 1.704 7.784
Br 3.225 1.704 1.682
CELL_PARAMETERS angstrom
3.507 0.000 0.000
0.000 3.409 0.000
-0.956 0.000 9.466
```